[1]
A geometry-optimized SrTe2Ir structure. Source: Alexandria, functional GGA-PBEsol.

SG	No. 8

a b c (Å): 3.958 5.851 6.183
angles (deg): 120.59 108.67 90.00
Fractional coordinates of all 4 atoms:
Te (0.024, 0.092, 0.048)
Te (0.840, 0.382, 0.680)
Sr (0.184, 0.747, 0.368)
Ir (0.452, 0.279, 0.904)

=====

[2]
A geometry-optimized SrTe2Ir structure. Source: Alexandria, functional GGA-PBEsol.

SG	No. 122

a b c (Å): 6.602 6.602 6.602
angles (deg): 104.57 104.57 119.80
Fractional coordinates of all 8 atoms:
Te (0.956, 0.875, 0.581)
Te (0.294, 0.375, 0.419)
Te (0.625, 0.044, 0.919)
Te (0.125, 0.706, 0.081)
Ir (0.000, 0.000, 0.000)
Ir (0.250, 0.750, 0.500)
Sr (0.500, 0.500, 0.000)
Sr (0.750, 0.250, 0.500)

=====

The E_form (uncorrected) results, record by record, are as follows: -569; -621 meV/atom.
The total DFT energy (no corrections) results, record by record, are as follows: -21.0; -42.4 eV per cell.